Ca5PrIn3: relaxed, PBE.

Unit cell a=9.602 b=9.602 c=7.192 alpha=90.00 beta=90.00 gamma=120.00
Positions (direct):
Ca 0.000 0.340 0.250
Ca 0.000 0.660 0.750
Ca 0.333 0.667 0.000
Ca 0.333 0.667 0.500
Ca 0.340 0.000 0.250
Ca 0.340 0.340 0.750
Ca 0.660 0.000 0.750
Ca 0.660 0.660 0.250
Ca 0.667 0.333 0.000
Ca 0.667 0.333 0.500
Pr 0.000 0.000 0.000
Pr 0.000 0.000 0.500
In 0.000 0.323 0.750
In 0.000 0.677 0.250
In 0.323 0.000 0.750
In 0.323 0.323 0.250
In 0.677 0.000 0.250
In 0.677 0.677 0.750

## Properties
formation enthalpy at 0 K = -339 meV per atom
calculated total energy = -52.11 eV/cell